The following is a PBE calculation of a relaxed Hf2InSbPd2 crystal, from OQMD via LeMat-Bulk.

a b c (Å): 7.7724 7.7724 7.7724
angles (deg): 131.91 131.91 70.38
Positions (direct):
Hf  0.2453  0.2453  0.0000
Hf  0.5047  0.0047  0.5000
Hf  0.7547  0.7547  0.0000
Hf  0.9953  0.4953  0.5000
In  0.0000  0.0000  0.0000
In  0.7500  0.2500  0.5000
Sb  0.2500  0.7500  0.5000
Sb  0.5000  0.5000  0.0000
Pd  0.1322  0.6250  0.0072
Pd  0.3750  0.3822  0.5072
Pd  0.6178  0.1250  0.9928
Pd  0.8750  0.8678  0.4928

Computed properties:
The calculation puts the density at 10.51 g cm⁻³. The value obtained for the total energy is -6.8397 eV per atom.

---

The following is a PBE calculation of a relaxed BaNd2O4 crystal, from OQMD via LeMat-Bulk.

a b c (Å): 10.6174 3.5851 12.4824
angles (deg): 90.00 90.00 90.00
Positions (direct):
Ba  0.2497  0.2500  0.1484
Ba  0.2503  0.7500  0.6484
Ba  0.7497  0.2500  0.3516
Ba  0.7503  0.7500  0.8516
Nd  0.0758  0.2500  0.8878
Nd  0.0811  0.2500  0.3892
Nd  0.4189  0.7500  0.8892
Nd  0.4242  0.7500  0.3878
Nd  0.5758  0.2500  0.6122
Nd  0.5811  0.2500  0.1108
Nd  0.9189  0.7500  0.6108
Nd  0.9242  0.7500  0.1122
O  0.0159  0.7500  0.7813
O  0.0705  0.2500  0.5769
O  0.1242  0.7500  0.0181
O  0.2126  0.7500  0.3277
O  0.2874  0.2500  0.8277
O  0.3758  0.2500  0.5181
O  0.4295  0.7500  0.0769
O  0.4841  0.2500  0.2813
O  0.5159  0.7500  0.7187
O  0.5705  0.2500  0.9231
O  0.6242  0.7500  0.4819
O  0.7126  0.7500  0.1723
O  0.7874  0.2500  0.6723
O  0.8758  0.2500  0.9819
O  0.9295  0.7500  0.4231
O  0.9841  0.2500  0.2187

Computed properties:
The calculation puts the density at 6.85 g cm⁻³. The value obtained for the total energy is -7.5768 eV per atom.

---

The following is a PBE calculation of a relaxed HgPbSeO crystal, from OQMD via LeMat-Bulk.

a b c (Å): 4.0374 4.0374 11.3202
angles (deg): 90.00 90.00 90.00
Positions (direct):
Hg  0.2500  0.7500  0.0000
Hg  0.7500  0.2500  0.0000
Pb  0.2500  0.2500  0.3881
Pb  0.7500  0.7500  0.6119
Se  0.2500  0.2500  0.8273
Se  0.7500  0.7500  0.1727
O  0.2500  0.2500  0.5809
O  0.7500  0.7500  0.4191

Computed properties:
The calculation puts the density at 9.05 g cm⁻³. The value obtained for the total energy is -3.4457 eV per atom.

---

The following is a PBE calculation of a relaxed SmNi4P2 crystal, from OQMD via LeMat-Bulk.

a b c (Å): 10.7001 14.0856 3.7282
angles (deg): 90.00 90.00 90.00
Positions (direct):
Sm  0.0000  0.0000  0.0000
Sm  0.1206  0.2771  0.0000
Sm  0.3794  0.7771  0.5000
Sm  0.5000  0.5000  0.5000
Sm  0.6206  0.2229  0.5000
Sm  0.8794  0.7229  0.0000
Ni  0.0693  0.8220  0.5000
Ni  0.0731  0.5636  0.0000
Ni  0.0977  0.4408  0.5000
Ni  0.1795  0.7158  0.0000
Ni  0.2247  0.9625  0.5000
Ni  0.2480  0.5868  0.5000
Ni  0.2520  0.0868  0.0000
Ni  0.2753  0.4625  0.0000
Ni  0.3205  0.2158  0.5000
Ni  0.4023  0.9408  0.0000
Ni  0.4269  0.0636  0.5000
Ni  0.4307  0.3220  0.0000
Ni  0.5693  0.6780  0.0000
Ni  0.5731  0.9364  0.5000
Ni  0.5977  0.0592  0.0000
Ni  0.6795  0.7842  0.5000
Ni  0.7247  0.5375  0.0000
Ni  0.7480  0.9132  0.0000
Ni  0.7520  0.4132  0.5000
Ni  0.7753  0.0375  0.5000
Ni  0.8205  0.2842  0.0000
Ni  0.9023  0.5592  0.5000
Ni  0.9269  0.4364  0.0000
Ni  0.9307  0.1780  0.5000
P  0.0670  0.6585  0.5000
P  0.1388  0.1179  0.5000
P  0.2070  0.8716  0.0000
P  0.2930  0.3716  0.5000
P  0.3612  0.6179  0.0000
P  0.4330  0.1585  0.0000
P  0.5670  0.8415  0.0000
P  0.6388  0.3821  0.0000
P  0.7070  0.6284  0.5000
P  0.7930  0.1284  0.0000
P  0.8612  0.8821  0.5000
P  0.9330  0.3415  0.5000

Computed properties:
The calculation puts the density at 7.93 g cm⁻³. The value obtained for the total energy is -6.2076 eV per atom.

---

The following is a PBE calculation of a relaxed BeZnTe crystal, from OQMD via LeMat-Bulk.

a b c (Å): 4.5735 4.5735 4.5735
angles (deg): 60.00 60.00 60.00
Positions (direct):
Be  0.0000  0.0000  0.0000
Zn  0.5000  0.5000  0.5000
Te  0.2500  0.2500  0.2500

Computed properties:
The calculation puts the density at 4.96 g cm⁻³. The value obtained for the total energy is -2.1236 eV per atom.

---

The following is a PBE calculation of a relaxed CsGeAuSeS2 crystal, from OQMD via LeMat-Bulk.

a b c (Å): 8.9774 8.9774 10.2246
angles (deg): 90.00 90.00 156.34
Positions (direct):
Cs  0.2201  0.7799  0.7500
Cs  0.7799  0.2201  0.2500
Ge  0.5000  0.5000  0.0000
Ge  0.5000  0.5000  0.5000
Au  0.1056  0.8944  0.2500
Au  0.8944  0.1056  0.7500
Se  0.4563  0.5437  0.2500
Se  0.5437  0.4563  0.7500
S  0.0999  0.9001  0.0243
S  0.0999  0.9001  0.4757
S  0.9001  0.0999  0.5243
S  0.9001  0.0999  0.9757

Computed properties:
The calculation puts the density at 5.48 g cm⁻³. The value obtained for the total energy is -3.7578 eV per atom.